# 1
TlGeSbTe2 | PBE-GGA | optimized geometry

Output
M_tot = 0.00 μB/f.u.
Raw formation energy = 911 meV per atom
Space-group type = No. 123
Raw total energy = -12.835 eV for the cell shown
ΔE to the lowest computed polymorph = 0.625 eV per atom

a b c (Å): 5.748 5.748 5.641
angles (deg): 90.00 90.00 90.00
Positions (direct):
Te 0.500 0.000 0.000
Te 0.000 0.500 0.000
Sb 0.000 0.000 0.500
Ge 0.500 0.500 0.500
Tl 0.000 0.000 0.000

=====

# 2
Tc2Sb | PBE-GGA | optimized geometry

Output
M_tot = 1.79 μB/f.u.
Raw formation energy = 381 meV per atom
Space-group type = No. 194
Raw total energy = -47.422 eV for the cell shown
ΔE to the lowest computed polymorph = 0.275 eV per atom

a b c (Å): 4.590 4.590 5.532
angles (deg): 90.00 90.00 120.00
Positions (direct):
Tc 0.333 0.667 0.750
Tc 0.000 0.000 0.500
Tc 0.667 0.333 0.250
Tc 0.000 0.000 0.000
Sb 0.667 0.333 0.750
Sb 0.333 0.667 0.250

=====

# 3
PrDyCuNi | PBE-GGA | optimized geometry

Output
M_tot = 0.00 μB/f.u.
ΔH_f (0 K) = -278 meV/atom
Space-group type = No. 38
Raw total energy = -20.370 eV for the cell shown
ΔE to the lowest computed polymorph = 0.000 eV per atom

a b c (Å): 3.809 4.443 5.562
angles (deg): 90.00 110.03 90.00
Positions (direct):
Dy 0.863 0.500 0.727
Pr 0.142 0.000 0.283
Ni 0.428 0.000 0.857
Cu 0.567 0.500 0.133

=====

# 4
Ca2ZnCl | PBE-GGA | optimized geometry

Output
M_tot = 0.00 μB/f.u.
Raw formation energy = -658 meV per atom
Space-group type = No. 119
Raw total energy = -9.755 eV for the cell shown
ΔE to the lowest computed polymorph = 0.253 eV per atom

a b c (Å): 7.118 7.118 7.118
angles (deg): 145.53 145.53 49.54
Positions (direct):
Ca 0.250 0.750 0.500
Ca 0.000 0.000 0.000
Cl 0.500 0.500 0.000
Zn 0.750 0.250 0.500

=====

# 5
TcRh3I | PBE-GGA | optimized geometry

Output
M_tot = 0.00 μB/f.u.
Raw formation energy = 1186 meV per atom
Space-group type = No. 221
Raw total energy = -28.039 eV for the cell shown
ΔE to the lowest computed polymorph = 0.000 eV per atom

a b c (Å): 4.738 4.738 4.738
angles (deg): 90.00 90.00 90.00
Positions (direct):
Rh 0.000 0.000 0.500
Rh 0.000 0.500 0.000
Rh 0.500 0.000 0.000
I 0.500 0.500 0.500
Tc 0.000 0.000 0.000

=====

# 6
Ti6ZnBi3 | PBE-GGA | optimized geometry

Output
M_tot = 0.00 μB/f.u.
ΔH_f (0 K) = 14 meV/atom
Space-group type = No. 36
Raw total energy = -120.288 eV for the cell shown
ΔE to the lowest computed polymorph = 0.048 eV per atom

a b c (Å): 7.074 8.157 8.157
angles (deg): 116.53 90.00 90.00
Positions (direct):
Ti 0.308 0.997 0.439
Ti 0.818 0.068 0.932
Ti 0.097 0.390 0.207
Ti 0.097 0.793 0.610
Ti 0.597 0.207 0.390
Ti 0.318 0.932 0.068
Ti 0.597 0.610 0.793
Ti 0.030 0.739 0.261
Ti 0.530 0.261 0.739
Ti 0.808 0.439 0.997
Ti 0.808 0.003 0.561
Ti 0.308 0.561 0.003
Bi 0.268 0.421 0.579
Bi 0.768 0.579 0.421
Bi 0.974 0.707 0.897
Bi 0.474 0.897 0.707
Bi 0.974 0.103 0.293
Bi 0.474 0.293 0.103
Zn 0.612 0.808 0.192
Zn 0.112 0.192 0.808

=====

# 7
Sm4PuTe5 | PBE-GGA | optimized geometry

Output
M_tot = 5.96 μB/f.u.
Raw formation energy = -1334 meV per atom
Space-group type = No. 139
Raw total energy = -62.256 eV for the cell shown
ΔE to the lowest computed polymorph = 0.005 eV per atom

a b c (Å): 4.443 4.443 16.006
angles (deg): 97.98 97.98 90.00
Positions (direct):
Sm 0.801 0.801 0.602
Sm 0.199 0.199 0.398
Sm 0.601 0.601 0.201
Sm 0.399 0.399 0.799
Te 0.901 0.901 0.801
Te 0.099 0.099 0.199
Te 0.299 0.299 0.599
Te 0.500 0.500 0.000
Te 0.701 0.701 0.401
Pu 0.000 0.000 0.000

=====

# 8
MnFe2Sb | PBE-GGA | optimized geometry

Output
M_tot = 6.22 μB/f.u.
Raw formation energy = 565 meV per atom
Space-group type = No. 166
Raw total energy = -27.957 eV for the cell shown

a b c (Å): 8.003 8.003 8.003
angles (deg): 21.32 21.32 21.32
Positions (direct):
Fe 0.993 0.993 0.993
Fe 0.507 0.507 0.507
Sb 0.750 0.750 0.750
Mn 0.250 0.250 0.250